Cd3FeSe: relaxed, PBE-GGA.

a = 5.324 Å, b = 5.324 Å, c = 5.324 Å
α = 90.00°, β = 90.00°, γ = 90.00°
Last column: magnetic moment on the atom in μB.
Element x y z (fractional)
Fe 0.500 0.500 0.500  3.25
Se 0.000 0.000 0.000  0.00
Cd 0.000 0.500 0.000  0.00
Cd 0.000 0.000 0.500  0.02
Cd 0.500 0.000 0.000  -0.01

Computed properties:
The calculation puts the total energy at -2.02 eV/atom. The value obtained for the total magnetization is 3.3 μB/f.u. Its raw formation energy is 0.92 eV/atom. The density of states at the Fermi level is 12.89 states/eV per cell.

=====

LiBiPIr2: relaxed, PBE-GGA.

a = 4.393 Å, b = 4.460 Å, c = 4.393 Å
α = 90.00°, β = 90.00°, γ = 90.00°
Element x y z (fractional)
P 0.500 0.500 0.500
Ir 0.000 0.000 0.500
Ir 0.500 0.000 0.000
Bi 0.000 0.500 0.000
Li 0.000 0.000 0.000

Computed properties:
The calculation puts the total energy at -4.71 eV/atom. The value obtained for the total magnetization is 0.0 μB/f.u. The density of states at the Fermi level is 3.88 states/eV per cell. For the formation energy, the calculation gives 1.07 eV per atom.

=====

- What is the formula in the first record?
  Cd3FeSe

=====

- Number 1 is which compound?
  Cd3FeSe